DFT (PBE) results for a relaxed structure of NaZrHF2.

Lattice parameters (Å, degrees): 3.904 3.904 5.469 90.00 90.00 90.00
Space group P4/mmm (No. 123)
Symmetry-distinct sites (fractional):
Na1 0.000 0.000 0.000
Zr1 0.000 0.000 0.500
H1 0.500 0.500 0.500
F1 0.000 0.500 0.000

Summary:
total DFT energy (no corrections) = -3.85 eV per atom
calculated volume = 83 Å³/cell
DOS at the Fermi energy = 2.67 states/eV per cell